Crystalline TmScAlCu at its relaxed geometry. Source: the Alexandria database, functional PBE.

The space group is P4mm (No. 99) and the conventional cell measures 3.354, 3.354 and 7.054 Å, with angles of 90.00, 90.00 and 90.00 degrees. Symmetry generates all atoms from Tm at (0.000, 0.000, 0.000), Sc at (0.000, 0.000, 0.532), Al at (0.500, 0.500, 0.283) and Cu at (0.500, 0.500, 0.741).

As for the formation energy: -357 meV/atom. As for the crystal system: tetragonal. The value obtained for the density of states at the Fermi level is 0.587 states/eV per atom.